A crystal of Sr2MgZn2 relaxed with PBEsol, computed with meta-GGA SCAN.

Calculated values
The calculation puts the energy at -15.48 eV/atom. As for the space group: P4/mbm, No. 127. The calculated formation energy comes out at -0.170 eV per atom. The value obtained for the density is 3.8 g cm⁻³.

The structure in extended XYZ format:
```
10
Lattice="4.400 0.000 0.000 0.000 8.052 0.000 0.000 0.000 8.052" Properties=species:S:1:pos:R:3 pbc="T T T"
Sr 2.200 5.489 6.589
Sr 2.200 1.463 5.489
Sr 2.200 6.589 2.563
Sr 2.200 2.563 1.463
Mg 0.000 4.026 4.026
Mg 0.000 0.000 0.000
Zn 0.000 4.941 0.915
Zn 0.000 7.137 4.941
Zn 0.000 0.915 3.111
Zn 0.000 3.111 7.137
```

A crystal of CsRb2ScF6 relaxed with PBEsol, computed with meta-GGA SCAN.

Calculated values
The calculation puts the energy at -14.90 eV/atom. As for the space group: Fm-3m, No. 225. Its formation energy from raw total energies is -34.3 eV per formula unit. The value obtained for the density is 3.6 g cm⁻³.

The structure in extended XYZ format:
```
10
Lattice="-0.597 -0.409 -6.654 4.939 -2.667 -3.645 -0.842 -5.961 -2.924" Properties=species:S:1:pos:R:3 pbc="T T T"
Cs 1.750 -4.519 -6.612
F 3.584 -3.454 -4.906
F 3.100 -6.882 -6.587
F 0.260 -5.348 -4.491
F -0.084 -5.583 -8.317
F 0.400 -2.155 -6.636
F 3.241 -3.689 -8.732
Sc 0.000 0.000 0.000
Rb 0.875 -2.259 -3.306
Rb 2.625 -6.778 -9.917
```